The following is a DFT calculation (PBE) of SrRePt2 after structural relaxation.

The value obtained for the energy of formation is 0.23 eV/atom. The calculation puts the magnetic moment at 0.00 μB per cell. As for the density: 9895 kg/m³. The energy above the lowest structure with this stoichiometry comes out at 0.296 eV/atom. The calculation puts the calculated total energy at -50.57 eV for the cell shown. As for the density of states at the Fermi level: 0.77 states/eV/atom.

abc: 9.0330 9.0330 9.0330
angles: 146.56 146.56 48.01
Last column: nearest neighbours and their distance in Å.
Positions (direct):
Sr 0.0000 0.0000 0.0000  8 Pt 3.41-3.73, 4 Re 3.67
Sr 0.7500 0.2500 0.5000  8 Pt 3.41-3.73, 4 Re 3.67
Re 0.2500 0.7500 0.5000  4 Pt 2.45
Re 0.5000 0.5000 0.0000  4 Pt 2.45
Pt 0.3325 0.6250 0.2075  2 Re 2.45, 2 Pt 2.64
Pt 0.3750 0.5825 0.7075  2 Re 2.45, 2 Pt 2.64
Pt 0.4175 0.1250 0.7925  2 Re 2.45, 2 Pt 2.64
Pt 0.8750 0.6675 0.2925  2 Re 2.45, 2 Pt 2.64



The following is a DFT calculation (PBE) of NpPaBi2 after structural relaxation.

The value obtained for the energy of formation is 0.00 eV/atom. The calculation puts the magnetic moment at 5.58 μB per cell. As for the density: 13036 kg/m³. The energy above the lowest structure with this stoichiometry comes out at 0.000 eV/atom. The calculation puts the calculated total energy at -30.21 eV for the cell shown. As for the density of states at the Fermi level: 3.25 states/eV/atom.

abc: 3.8258 3.8258 7.7105
angles: 90.00 90.00 90.00
Last column: nearest neighbours and their distance in Å.
Positions (direct):
Np 0.0000 0.0000 0.0000  8 Bi 3.33
Pa 0.0000 0.0000 0.5000  8 Bi 3.31
Bi 0.5000 0.5000 0.2529  4 Pa 3.31, 4 Np 3.33
Bi 0.5000 0.5000 0.7471  4 Pa 3.31, 4 Np 3.33



The following is a DFT calculation (PBE) of Ba2NaTe after structural relaxation.

The calculation puts the magnetic moment at 0.64 μB per cell. As for the density: 3459 kg/m³. The uncorrected formation energy comes out at -0.780 eV/atom. The calculation puts the calculated total energy at -11.42 eV for the cell shown. As for the density of states at the Fermi level: 0.74 states/eV/atom.

abc: 10.4538 10.4538 10.4538
angles: 26.76 26.76 26.76
Last column: nearest neighbours and their distance in Å.
Positions (direct):
Ba 0.0000 0.0000 0.0000  3 Te 3.47
Ba 0.1975 0.1975 0.1975  3 Te 3.46
Na 0.4320 0.4320 0.4320  6 Ba 4.09
Te 0.5983 0.5983 0.5983  6 Ba 3.46-3.47



The following is a DFT calculation (PBE) of KCd3S after structural relaxation.

The calculation puts the magnetic moment at 1.01 μB per cell. As for the density: 2492 kg/m³. The uncorrected formation energy comes out at 0.737 eV/atom. The energy above the lowest structure with this stoichiometry comes out at 0.588 eV/atom. The calculation puts the calculated total energy at -4.28 eV for the cell shown. As for the density of states at the Fermi level: 3.42 states/eV/atom.

abc: 6.4799 6.4799 6.4799
angles: 90.00 90.00 90.00
Last column: nearest neighbours and their distance in Å.
Positions (direct):
K 0.0000 0.0000 0.0000  6 Cd 3.24
Cd 0.0000 0.0000 0.5000  2 K 3.24
Cd 0.0000 0.5000 0.0000  2 K 3.24
Cd 0.5000 0.0000 0.0000  2 K 3.24
S 0.5000 0.5000 0.5000  12 Cd 4.58



The following is a DFT calculation (PBE) of TbPaSnHg after structural relaxation.

The value obtained for the energy of formation is -0.19 eV/atom. The calculation puts the magnetic moment at 1.66 μB per cell. As for the density: 11123 kg/m³. The calculation puts the calculated total energy at -19.18 eV for the cell shown. As for the density of states at the Fermi level: 2.30 states/eV/atom.

abc: 5.3103 5.3103 5.3103
angles: 60.00 60.00 60.00
Last column: nearest neighbours and their distance in Å.
Positions (direct):
Tb 0.0000 0.0000 0.0000  4 Sn 3.25, 4 Hg 3.25
Pa 0.5000 0.5000 0.5000  4 Sn 3.25, 4 Hg 3.25
Sn 0.7500 0.7500 0.7500  4 Tb 3.25, 4 Pa 3.25
Hg 0.2500 0.2500 0.2500  4 Tb 3.25, 4 Pa 3.25



The following is a DFT calculation (PBE) of Nd3Tl4SnSe8 after structural relaxation.

The calculation puts the magnetic moment at 0.00 μB per cell. As for the density: 6723 kg/m³. The uncorrected formation energy comes out at -1.117 eV/atom. The calculation puts the calculated total energy at -73.52 eV for the cell shown. As for the density of states at the Fermi level: 0.36 states/eV/atom.

abc: 9.1589 9.1589 9.1589
angles: 56.10 56.10 56.10
Last column: nearest neighbours and their distance in Å.
Positions (direct):
Nd 0.0000 0.5000 0.5000  6 Se 2.98
Nd 0.5000 0.0000 0.5000  6 Se 2.98
Nd 0.5000 0.5000 0.0000  6 Se 2.98
Tl 0.0000 0.0000 0.5000  6 Se 3.33
Tl 0.0000 0.5000 0.0000  6 Se 3.33
Tl 0.5000 0.0000 0.0000  6 Se 3.33
Tl 0.5000 0.5000 0.5000  6 Se 3.37
Sn 0.0000 0.0000 0.0000  6 Se 2.93
Se 0.2337 0.2337 0.7422  1 Sn 2.93, 2 Nd 2.98
Se 0.2337 0.7422 0.2337  1 Sn 2.93, 2 Nd 2.98
Se 0.2578 0.7663 0.7663  1 Sn 2.93, 2 Nd 2.98
Se 0.2624 0.2624 0.2624  3 Nd 2.98, 3 Tl 3.33
Se 0.7376 0.7376 0.7376  3 Nd 2.98, 3 Tl 3.33
Se 0.7422 0.2337 0.2337  1 Sn 2.93, 2 Nd 2.98
Se 0.7663 0.2578 0.7663  1 Sn 2.93, 2 Nd 2.98
Se 0.7663 0.7663 0.2578  1 Sn 2.93, 2 Nd 2.98



The following is a DFT calculation (PBE) of TeSe2Cl after structural relaxation.

The calculation puts the magnetic moment at 0.00 μB per cell. As for the density: 4137 kg/m³. The uncorrected formation energy comes out at 0.011 eV/atom. The energy above the lowest structure with this stoichiometry comes out at 0.154 eV/atom. The calculation puts the calculated total energy at -11.91 eV for the cell shown. As for the density of states at the Fermi level: 0.36 states/eV/atom.

abc: 5.5210 5.5210 7.1781
angles: 98.47 98.47 36.59
Last column: nearest neighbours and their distance in Å.
Positions (direct):
Te 0.0000 0.0000 0.0000  1 Cl 2.39
Se 0.3604 0.3604 0.3437  2 Se 2.49
Se 0.6954 0.6954 0.2325  2 Se 2.49
Cl 0.1150 0.1150 0.7380  1 Te 2.39



The following is a DFT calculation (PBE) of Er2Sc3Ag2 after structural relaxation.

The value obtained for the energy of formation is -0.10 eV/atom. The calculation puts the magnetic moment at 0.00 μB per cell. As for the density: 6622 kg/m³. The calculation puts the calculated total energy at -34.55 eV for the cell shown. As for the density of states at the Fermi level: 1.14 states/eV/atom.

abc: 5.6578 5.6578 7.6289
angles: 111.32 111.32 50.18
Last column: nearest neighbours and their distance in Å.
Positions (direct):
Er 0.1270 0.1270 0.2667  4 Ag 3.05-3.21
Er 0.8730 0.8730 0.7333  4 Ag 3.05-3.21
Sc 0.3652 0.3652 0.0474  1 Ag 2.75
Sc 0.5000 0.5000 0.5000  4 Ag 2.90, 2 Sc 3.16
Sc 0.6348 0.6348 0.9526  1 Ag 2.75
Ag 0.1535 0.1535 0.6833  3 Sc 2.75-2.90, 2 Er 3.05-3.08
Ag 0.8465 0.8465 0.3167  3 Sc 2.75-2.90, 2 Er 3.05-3.08



> Look up the calculated total energy of the third one.

-11.42 eV for the cell shown



> The lowest calculated total energy belongs to which entry?

Nd3Tl4SnSe8



> Among the records above, which one has the highest magnetic moment?

NpPaBi2